# DyPu2Re

DyPu2Re after structural relaxation (PBE, the Alexandria database).

Its calculated volume is 23.05 A^3/atom. The total magnetic moment comes out at 32.96 Bohr magnetons per cell. For the final energy, the calculation gives -11.10 eV/atom.

Unit cell a=4.8049 b=4.8049 c=13.8349 alpha=90.00 beta=90.00 gamma=120.00
Space group R-3m (No. 166, hexagonal axes)
Symmetry-distinct sites (fractional):
Dy (0.0000, 0.0000, 0.0000) x3
Pu (0.0000, 0.0000, 0.2334) x6
Re (0.0000, 0.0000, 0.5000) x3

=====

# Pr3Ge2Rh4

Pr3Ge2Rh4 after structural relaxation (PBE, the Alexandria database).

Its calculated volume is 21.33 A^3/atom. The total magnetic moment comes out at 0.00 Bohr magnetons per cell. For the final energy, the calculation gives -6.65 eV/atom.

Unit cell a=10.890 b=4.204 c=8.999 alpha=90.00 beta=111.30 gamma=90.00
Space group C2/m (No. 12)
Symmetry-distinct sites (fractional):
Pr (0.000, 0.000, 0.000) x2
Pr (0.129, 0.500, 0.692) x4
Ge (0.152, 0.500, 0.302) x4
Rh (0.144, 0.000, 0.441) x4
Rh (0.219, 0.500, 0.067) x4

=====

# UVIr

UVIr after structural relaxation (PBE, the Alexandria database).

Its calculated volume is 16.36 A^3/atom. The total magnetic moment comes out at 0.00 Bohr magnetons per cell. The calculation puts the excess energy over the best structure of this formula in the dataset at 43.1 meV/atom. For the final energy, the calculation gives -9.83 eV/atom.

Unit cell a=4.4919 b=4.4919 c=2.8089 alpha=90.00 beta=90.00 gamma=120.00
Space group P3m1 (No. 156)
Symmetry-distinct sites (fractional):
U (0.0000, 0.0000, 0.0000) x1
V (0.6667, 0.3333, 0.1762) x1
Ir (0.3333, 0.6667, 0.6608) x1

=====

# LaYHoEr

LaYHoEr after structural relaxation (PBE, the Alexandria database).

Its calculated volume is 32.70 A^3/atom. The total magnetic moment comes out at 0.00 Bohr magnetons per cell. The calculation puts the excess energy over the best structure of this formula in the dataset at 0.0 meV/atom. For the final energy, the calculation gives -5.11 eV/atom.

Unit cell a=3.5966 b=3.5966 c=35.0220 alpha=90.00 beta=90.00 gamma=120.00
Space group R3m (No. 160, hexagonal axes)
Symmetry-distinct sites (fractional):
La (0.0000, 0.0000, 0.0000) x3
Y (0.0000, 0.0000, 0.4211) x3
Ho (0.0000, 0.0000, 0.8359) x3
Er (0.0000, 0.0000, 0.2489) x3

=====

# Ca2SiGe

Ca2SiGe after structural relaxation (PBE, the Alexandria database).

The value obtained for the formation energy from raw total energies is -350.3 meV/atom. Its calculated volume is 23.75 A^3/atom. The total magnetic moment comes out at 0.00 Bohr magnetons per cell. The calculation puts the excess energy over the best structure of this formula in the dataset at 245.4 meV/atom. For the final energy, the calculation gives -3.86 eV/atom.

Unit cell a=7.243 b=7.243 c=7.243 alpha=90.00 beta=90.00 gamma=90.00
Space group Fm-3m (No. 225)
Symmetry-distinct sites (fractional):
Ca (0.250, 0.250, 0.250) x8
Si (0.000, 0.000, 0.000) x4
Ge (0.000, 0.000, 0.500) x4

=====

# NpTlAg4

NpTlAg4 after structural relaxation (PBE, the Alexandria database).

Its calculated volume is 21.43 A^3/atom. The total magnetic moment comes out at 17.05 Bohr magnetons per cell. For the final energy, the calculation gives -4.28 eV/atom.

Unit cell a=8.013 b=8.013 c=8.013 alpha=90.00 beta=90.00 gamma=90.00
Space group F-43m (No. 216)
Symmetry-distinct sites (fractional):
Np (0.000, 0.000, 0.000) x4
Tl (0.250, 0.250, 0.750) x4
Ag (0.125, 0.125, 0.375) x16

=====

Question: The highest total magnetic moment belongs to which entry?
Answer: DyPu2Re

=====

Question: Among the records above, which one has the highest total magnetic moment?
Answer: DyPu2Re